Entry 1:
NdEuErSc | GGA-PBE | optimized geometry

Output
density of states at the Fermi level	1.5668	states/eV/atom
electronic total energy	-6.326	eV/atom
DFT formation energy	0.16	eV per atom

Cell and atoms, written as extended XYZ:
```
4
Lattice="0.0000 3.9968 3.9968 3.9968 0.0000 3.9968 3.9968 3.9968 0.0000" Properties=species:S:1:pos:R:3 pbc="T T T"
Nd 0.0000 0.0000 0.0000
Eu 3.9968 3.9968 3.9968
Er 1.9984 1.9984 1.9984
Sc 5.9953 5.9953 5.9953
```

Entry 2:
NdSmEuEr | GGA-PBE | optimized geometry

Output
density of states at the Fermi level	1.6395	states/eV/atom
electronic total energy	-5.941	eV/atom
DFT formation energy	0.14	eV per atom

Cell and atoms, written as extended XYZ:
```
4
Lattice="0.0000 4.1119 4.1119 4.1119 0.0000 4.1119 4.1119 4.1119 0.0000" Properties=species:S:1:pos:R:3 pbc="T T T"
Nd 0.0000 0.0000 0.0000
Sm 4.1119 4.1119 4.1119
Eu 6.1679 6.1679 6.1679
Er 2.0560 2.0560 2.0560
```

Entry 3:
NdEuErTh | GGA-PBE | optimized geometry

Output
density of states at the Fermi level	1.8123	states/eV/atom
electronic total energy	-6.547	eV/atom
DFT formation energy	0.21	eV per atom

Cell and atoms, written as extended XYZ:
```
4
Lattice="0.0000 4.0836 4.0836 4.0836 0.0000 4.0836 4.0836 4.0836 0.0000" Properties=species:S:1:pos:R:3 pbc="T T T"
Nd 0.0000 0.0000 0.0000
Eu 2.0418 2.0418 2.0418
Er 6.1253 6.1253 6.1253
Th 4.0836 4.0836 4.0836
```

- What is the DFT formation energy in the first record?
  0.16 eV per atom